Arrangement a

PBE-GGA Pr3NdZn8, optimized geometry; magnetic moment = 0.0 μB/f.u.; space-group type = No. 156
1.0
5.731 0.000 0.000
-2.866 4.963 0.000
0.000 0.000 8.778
Pr Nd Zn
3 1 8
Cartesian
0.000 0.000 0.000
0.000 0.000 3.493
0.000 3.309 7.869
0.000 3.309 4.394
1.466 0.847 6.130
2.866 0.029 1.751
1.458 2.467 1.751
2.866 1.654 3.935
2.866 1.654 8.334
4.265 0.847 6.130
2.866 3.270 6.130
4.273 2.467 1.751

---

Arrangement b

PBE-GGA Pr3NdZn8, optimized geometry; magnetic moment = 0.0 μB/f.u.; space-group type = No. 160
1.0
2.807 1.621 9.124
-2.807 1.621 9.124
0.000 -3.241 9.124
Pr Nd Zn
3 1 8
Cartesian
0.000 0.000 0.000
0.000 0.000 3.418
0.000 0.000 17.108
0.000 0.000 13.693
0.000 -1.619 6.267
-1.402 0.810 6.267
-1.402 -0.809 10.843
0.000 0.000 8.556
1.402 0.810 6.267
1.402 -0.809 10.843
0.000 1.618 10.843
0.000 0.000 22.242

---

Each structure's energy above the most stable one, in meV per atom: arrangement a 19; arrangement b 0.

---

Arrangement a

PBE-GGA Pr2NdZr, optimized geometry; magnetic moment = 0.0 μB/f.u.; space-group type = No. 166
1.0
3.459 0.000 0.000
-1.729 2.995 0.000
0.000 0.000 37.136
Pr Nd Zr
6 3 3
Cartesian
0.000 0.000 3.121
0.000 0.000 34.015
0.000 1.997 21.637
0.000 1.997 27.878
1.729 0.998 9.258
1.729 0.998 15.499
0.000 0.000 18.568
0.000 1.997 6.189
1.729 0.998 30.947
0.000 0.000 0.000
0.000 1.997 24.757
1.729 0.998 12.379

---

Arrangement b

PBE-GGA Pr2NdZr, optimized geometry; magnetic moment = 0.0 μB/f.u.; space-group type = No. 123
1.0
5.034 0.000 0.000
0.000 5.034 0.000
0.000 0.000 5.014
Pr Nd Zr
2 1 1
Cartesian
0.000 2.517 0.000
2.517 0.000 0.000
0.000 0.000 2.507
2.517 2.517 2.507

---

Arrangement c

PBE-GGA Pr2NdZr, optimized geometry; magnetic moment = 0.0 μB/f.u.; space-group type = No. 160
1.0
3.547 0.000 0.000
-1.774 3.072 0.000
0.000 0.000 35.026
Pr Nd Zr
6 3 3
Cartesian
0.000 0.000 0.000
0.000 0.000 6.277
0.000 2.048 23.351
0.000 2.048 29.628
1.774 1.024 11.675
1.774 1.024 17.953
0.000 0.000 14.766
0.000 2.048 3.091
1.774 1.024 26.442
0.000 0.000 20.660
0.000 2.048 8.985
1.774 1.024 32.336

---

Arrangement d

PBE-GGA Pr2NdZr, optimized geometry; magnetic moment = 0.0 μB/f.u.; space-group type = No. 123
1.0
4.119 0.000 0.000
0.000 4.119 0.000
0.000 0.000 7.505
Pr Nd Zr
2 1 1
Cartesian
0.000 0.000 1.654
0.000 0.000 5.851
2.059 2.059 3.752
2.059 2.059 0.000

---

Each structure's energy above the most stable one, in meV per atom: arrangement a 207; arrangement b 15; arrangement c 0; arrangement d 48.

---

Arrangement a

PBE-GGA NdPt6, optimized geometry; magnetic moment = 0.0 μB/f.u.; space-group type = No. 62
1.0
9.243 0.000 0.000
0.000 5.333 0.000
0.000 0.000 10.318
Nd Pt
4 24
Cartesian
2.217 1.333 0.551
2.405 3.999 5.710
6.838 1.333 4.608
7.027 3.999 9.767
0.286 1.333 5.703
0.448 2.692 8.043
0.448 5.307 8.043
0.792 3.999 0.140
1.787 1.333 3.521
1.833 3.999 2.725
2.789 1.333 7.884
2.834 3.999 8.680
3.830 1.333 5.299
4.174 0.025 2.884
4.174 2.641 2.884
4.336 3.999 0.544
4.907 1.333 9.773
5.070 2.692 7.433
5.070 5.307 7.433
5.414 3.999 5.019
6.409 1.333 1.638
6.454 3.999 2.434
7.411 1.333 7.593
7.456 3.999 6.797
8.452 1.333 10.178
8.795 0.025 2.275
8.795 2.641 2.275
8.958 3.999 4.614

---

Arrangement b

PBE-GGA NdPt6, optimized geometry; magnetic moment = 0.0 μB/f.u.; space-group type = No. 221
1.0
6.062 0.000 0.000
0.000 6.062 0.000
0.000 0.000 6.062
Nd Pt
1 6
Cartesian
0.000 0.000 0.000
1.185 3.031 3.031
3.031 1.185 3.031
3.031 3.031 1.185
3.031 3.031 4.876
3.031 4.876 3.031
4.876 3.031 3.031

---

Each structure's energy above the most stable one, in meV per atom: arrangement a 0; arrangement b 1455.

---

Arrangement a

PBE-GGA Nd4Pt, optimized geometry; magnetic moment = 0.8 μB/f.u.; space-group type = No. 221
1.0
5.679 0.000 0.000
0.000 5.679 0.000
0.000 0.000 5.679
Nd Pt
4 1
Cartesian
0.000 0.000 0.000
0.000 2.840 2.840
2.840 0.000 2.840
2.840 2.840 0.000
2.840 2.840 2.840

---

Arrangement b

PBE-GGA Nd4Pt, optimized geometry; magnetic moment = 0.0 μB/f.u.; space-group type = No. 227
1.0
0.000 5.646 5.646
5.646 0.000 5.646
5.646 5.646 0.000
Nd Pt
8 2
Cartesian
8.632 5.484 5.484
2.661 2.661 2.661
5.808 5.808 2.661
5.808 2.661 5.808
5.484 8.632 5.484
5.484 5.484 8.632
8.632 8.632 8.632
2.661 5.808 5.808
4.235 4.235 4.235
7.058 7.058 7.058

---

Arrangement c

PBE-GGA Nd4Pt, optimized geometry; magnetic moment = 0.0 μB/f.u.; space-group type = No. 122
1.0
-4.537 4.537 4.012
4.537 -4.537 4.012
4.537 4.537 -4.012
Nd Pt
8 2
Cartesian
4.171 -2.717 2.742
4.904 1.820 -0.736
7.255 -0.366 1.270
1.820 0.366 1.270
1.820 4.171 0.736
2.717 0.366 4.748
4.904 2.717 2.742
-0.366 2.717 3.276
4.537 0.000 2.006
0.000 0.000 4.012

---

Each structure's energy above the most stable one, in meV per atom: arrangement a 149; arrangement b 375; arrangement c 0.

---

Arrangement a

PBE-GGA NdPuPt, optimized geometry; magnetic moment = 6.4 μB/f.u.; space-group type = No. 216
1.0
6.995 0.000 0.000
0.000 6.995 0.000
0.000 0.000 6.995
Nd Pu Pt
4 4 4
Cartesian
0.000 0.000 0.000
0.000 3.498 3.498
3.498 0.000 3.498
3.498 3.498 0.000
0.000 0.000 3.498
0.000 3.498 0.000
3.498 0.000 0.000
3.498 3.498 3.498
1.749 1.749 1.749
1.749 5.247 5.247
5.247 1.749 5.247
5.247 5.247 1.749

---

Arrangement b

PBE-GGA NdPuPt, optimized geometry; magnetic moment = 6.0 μB/f.u.; space-group type = No. 156
1.0
4.750 0.000 0.000
-2.375 4.114 0.000
0.000 0.000 3.928
Nd Pu Pt
1 1 1
Cartesian
0.000 0.000 0.000
0.000 2.743 1.705
2.375 1.371 2.588

---

Each structure's energy above the most stable one, in meV per atom: arrangement a 0; arrangement b 105.

---

Arrangement a

PBE-GGA NdPuPt, optimized geometry; magnetic moment = 5.9 μB/f.u.; space-group type = No. 189
1.0
7.437 0.000 0.000
-3.719 6.441 0.000
0.000 0.000 4.834
Nd Pu Pt
3 3 3
Cartesian
-2.171 3.760 0.000
1.548 2.681 0.000
4.341 0.000 0.000
-0.927 1.606 2.417
1.854 0.000 2.417
2.792 4.835 2.417
0.000 0.000 0.000
0.000 4.294 2.417
3.719 2.147 2.417

---

Arrangement b

PBE-GGA NdPuPt, optimized geometry; magnetic moment = 6.1 μB/f.u.; space-group type = No. 59
1.0
4.885 0.000 0.000
0.000 4.972 0.000
0.000 0.000 7.041
Nd Pu Pt
2 2 2
Cartesian
1.221 1.243 0.020
3.663 3.729 7.021
1.221 1.243 3.520
3.663 3.729 3.521
1.221 3.729 1.741
3.663 1.243 5.300

---

Each structure's energy above the most stable one, in meV per atom: arrangement a 0; arrangement b 131.

---

Arrangement a

PBE-GGA Nd8PtRh2, optimized geometry; magnetic moment = 0.0 μB/f.u.; space-group type = No. 8
1.0
4.231 -6.440 0.000
4.231 6.440 0.000
-2.195 0.000 6.049
Nd Pt Rh
8 1 2
Cartesian
0.000 0.000 0.000
-0.061 1.712 3.524
2.644 2.657 1.171
-0.061 -1.712 3.524
3.085 1.721 4.905
2.644 -2.657 1.171
3.085 -1.721 4.905
5.207 0.000 2.297
0.809 0.000 5.990
1.513 4.046 4.164
1.513 -4.046 4.164

---

Arrangement b

PBE-GGA Nd8PtRh2, optimized geometry; magnetic moment = 0.0 μB/f.u.; space-group type = No. 12
1.0
4.219 -6.750 0.000
4.219 6.750 0.000
-2.043 0.000 5.646
Nd Pt Rh
8 1 2
Cartesian
0.643 1.670 3.253
4.219 3.801 0.000
0.643 -1.670 3.253
2.758 0.000 0.952
3.637 0.000 4.694
5.752 1.670 2.393
4.219 -3.801 0.000
5.752 -1.670 2.393
0.000 0.000 0.000
3.197 2.829 2.823
3.197 -2.829 2.823

---

Each structure's energy above the most stable one, in meV per atom: arrangement a 0; arrangement b 23.

---

Arrangement a

PBE-GGA NdSmPtRh, optimized geometry; magnetic moment = 0.0 μB/f.u.; space-group type = No. 216
1.0
7.112 0.000 0.000
0.000 7.112 0.000
0.000 0.000 7.112
Nd Sm Pt Rh
4 4 4 4
Cartesian
0.000 0.000 0.000
0.000 3.556 3.556
3.556 0.000 3.556
3.556 3.556 0.000
0.000 0.000 3.556
0.000 3.556 0.000
3.556 0.000 0.000
3.556 3.556 3.556
1.778 1.778 5.334
1.778 5.334 1.778
5.334 1.778 1.778
5.334 5.334 5.334
1.778 1.778 1.778
1.778 5.334 5.334
5.334 1.778 5.334
5.334 5.334 1.778

---

Arrangement b

PBE-GGA NdSmPtRh, optimized geometry; magnetic moment = 0.0 μB/f.u.; space-group type = No. 38
1.0
4.425 0.000 0.000
0.000 3.898 0.000
0.000 0.000 10.832
Nd Sm Pt Rh
2 2 2 2
Cartesian
0.000 0.000 0.000
0.000 1.949 5.416
2.213 0.000 7.802
2.213 1.949 2.386
2.213 0.000 4.789
2.213 1.949 10.205
0.000 0.000 2.898
0.000 1.949 8.314

---

Each structure's energy above the most stable one, in meV per atom: arrangement a 70; arrangement b 0.